[1]
# LiLa2PtC, relaxed, DFT PBE-GGA
data_LiLa2PtC
_chemical_formula_sum 'Li1 La2 Pt1 C1'
_cell_length_a 5.1388
_cell_length_b 5.1388
_cell_length_c 4.0801
_cell_angle_alpha 90.00
_cell_angle_beta 90.00
_cell_angle_gamma 90.00
_symmetry_space_group_name_H-M 'P 4/m m m'
_symmetry_Int_Tables_number 123
_symmetry_space_group_name_Hall '-P 4 2'
loop_
_atom_site_label
_atom_site_type_symbol
_atom_site_fract_x
_atom_site_fract_y
_atom_site_fract_z
_atom_site_occupancy
Li1 Li 0.0000 0.0000 0.0000 1
La1 La 0.0000 0.5000 0.5000 1
Pt1 Pt 0.5000 0.5000 0.0000 1
C1 C 0.0000 0.0000 0.5000 1
# Calculated formation energy = -7.6 kcal/mol of atoms

***

[2]
# KPuBi2, relaxed, DFT PBE-GGA
data_KPuBi2
_chemical_formula_sum 'K1 Pu1 Bi2'
_cell_length_a 3.5702
_cell_length_b 3.5702
_cell_length_c 10.0559
_cell_angle_alpha 90.00
_cell_angle_beta 90.00
_cell_angle_gamma 90.00
_symmetry_space_group_name_H-M 'P 4/m m m'
_symmetry_Int_Tables_number 123
_symmetry_space_group_name_Hall '-P 4 2'
loop_
_atom_site_label
_atom_site_type_symbol
_atom_site_fract_x
_atom_site_fract_y
_atom_site_fract_z
_atom_site_occupancy
K1 K 0.0000 0.0000 0.0000 1
Pu1 Pu 0.0000 0.0000 0.5000 1
Bi1 Bi 0.5000 0.5000 0.2711 1
# Calculated formation energy = -8.6 kcal/mol of atoms

***

Number 1: DOS(E_F) 4.73 states/eV/cell. Number 2: DOS(E_F) 8.73 states/eV/cell.